[1]
This record from Alexandria via LeMat-Bulk describes PrHo4Te6 after structural relaxation. The functional is PBE.

Lattice parameters (Å, degrees): 4.2961 7.4432 22.2561 90.00 90.00 106.77
Fractional positions:
Te 0.7658 0.5316 0.0927
Te 0.0515 0.1031 0.1621
Te 0.3204 0.6408 0.2500
Te 0.5000 0.0000 0.0000
Te 0.6796 0.3592 0.7500
Te 0.0515 0.1031 0.3379
Te 0.2342 0.4684 0.5927
Te 0.9485 0.8969 0.8379
Te 0.9485 0.8969 0.6621
Te 0.5000 0.0000 0.5000
Te 0.2342 0.4684 0.9073
Te 0.7658 0.5316 0.4073
Ho 0.8565 0.7131 0.5350
Ho 0.1435 0.2869 0.0350
Ho 0.1435 0.2869 0.4650
Ho 0.5895 0.1791 0.8756
Ho 0.4105 0.8209 0.3756
Ho 0.8565 0.7131 0.9650
Ho 0.5895 0.1791 0.6244
Ho 0.4105 0.8209 0.1244
Pr 0.6535 0.3070 0.2500
Pr 0.3465 0.6930 0.7500

Energy relative to the elements, uncorrected (eV/atom): -1.36
Total energy (eV/atom): -5.171


[2]
This record from Alexandria via LeMat-Bulk describes CaZnHgF6 after structural relaxation. The functional is PBE.

Lattice parameters (Å, degrees): 5.7239 5.7239 9.5228 90.00 90.00 120.00
Fractional positions:
Zn 0.6667 0.3333 0.2500
Zn 0.3333 0.6667 0.7500
F 0.6662 0.6387 0.1336
F 0.3613 0.0275 0.1336
F 0.9725 0.6387 0.3664
F 0.0275 0.6662 0.8664
F 0.6662 0.0275 0.3664
F 0.6387 0.6662 0.6336
F 0.6387 0.9725 0.8664
F 0.3338 0.3613 0.8664
F 0.3338 0.9725 0.6336
F 0.3613 0.3338 0.3664
F 0.9725 0.3338 0.1336
F 0.0275 0.3613 0.6336
Hg 0.0000 0.0000 0.0000
Hg 0.0000 0.0000 0.5000
Ca 0.3333 0.6667 0.2500
Ca 0.6667 0.3333 0.7500

Energy relative to the elements, uncorrected (eV/atom): -2.52
Total energy (eV/atom): -4.164


[3]
This record from Alexandria via LeMat-Bulk describes MnS3N after structural relaxation. The functional is PBE.

Lattice parameters (Å, degrees): 4.3117 4.3117 4.3117 90.00 90.00 90.00
Fractional positions:
S 0.0000 0.0000 0.5000
S 0.0000 0.5000 0.0000
S 0.5000 0.0000 0.0000
Mn 0.0000 0.0000 0.0000
N 0.5000 0.5000 0.5000

Energy relative to the elements, uncorrected (eV/atom): 1.48
Relative energy among the computed polymorphs (meV per atom): 150
Total energy (eV/atom): -4.495


[4]
This record from Alexandria via LeMat-Bulk describes CaRhBr after structural relaxation. The functional is PBE.

Lattice parameters (Å, degrees): 8.0017 3.9752 8.4678 90.00 90.00 90.00
Fractional positions:
Rh 0.7682 0.2500 0.1530
Rh 0.2318 0.7500 0.8470
Rh 0.2682 0.2500 0.3470
Rh 0.7318 0.7500 0.6530
Ca 0.0280 0.7500 0.2114
Ca 0.9720 0.2500 0.7886
Ca 0.4720 0.2500 0.7114
Ca 0.5280 0.7500 0.2886
Br 0.7187 0.7500 0.9464
Br 0.2813 0.2500 0.0536
Br 0.7813 0.2500 0.4464
Br 0.2187 0.7500 0.5536

Energy relative to the elements, uncorrected (eV/atom): -0.52
Relative energy among the computed polymorphs (meV per atom): 492
Total energy (eV/atom): -4.194